# 1
# CdReClO4 PBE relaxed
data_CdReClO4
_chemical_formula_sum 'Cd4 Re4 Cl4 O16'
_symmetry_space_group_name_H-M 'C 1 2/m 1'
_symmetry_Int_Tables_number 12
_cell_length_a 9.698
_cell_length_b 7.526
_cell_length_c 9.763
_cell_angle_alpha 90.00
_cell_angle_beta 119.37
_cell_angle_gamma 90.00
loop_
_symmetry_equiv_pos_as_xyz
'x,y,z'
'-x,-y,-z'
'-x,y,-z'
'x,-y,z'
'x+1/2,y+1/2,z'
'-x+1/2,-y+1/2,-z'
'-x+1/2,y+1/2,-z'
'x+1/2,-y+1/2,z'
loop_
_atom_site_label
_atom_site_type_symbol
_atom_site_fract_x
_atom_site_fract_y
_atom_site_fract_z
Cd1 Cd 0.162 0.000 0.196
Re1 Re 0.133 0.500 0.333
Cl1 Cl 0.138 0.000 0.926
O1 O 0.059 0.500 0.694
O2 O 0.163 0.311 0.247
O3 O 0.230 0.000 0.465
# Total magnetic moment in Bohr magnetons per cell: 0.00
# Formation energy (no corrections) in kJ/mol of atoms: -140.3
# Calculated total energy in eV/atom: -6.46

# 2
# CdSCl2O PBE relaxed
data_CdSCl2O
_chemical_formula_sum 'Cd1 S1 Cl2 O1'
_symmetry_space_group_name_H-M 'P 4/m m m'
_symmetry_Int_Tables_number 123
_symmetry_space_group_name_Hall '-P 4 2'
_cell_length_a 4.613
_cell_length_b 4.613
_cell_length_c 4.226
_cell_angle_alpha 90.00
_cell_angle_beta 90.00
_cell_angle_gamma 90.00
loop_
_atom_site_label
_atom_site_type_symbol
_atom_site_fract_x
_atom_site_fract_y
_atom_site_fract_z
Cd1 Cd 0.000 0.000 0.000
S1 S 0.500 0.500 0.000
Cl1 Cl 0.000 0.500 0.500
O1 O 0.500 0.500 0.500
# Total magnetic moment in Bohr magnetons per cell: 0.00
# Formation energy (no corrections) in kJ/mol of atoms: 35.9
# Calculated total energy in eV/atom: -2.37
# Distance to the lowest polymorph of the same formula in eV/atom: 0.000

# 3
# CdSCl2O PBE relaxed
data_CdSCl2O
_chemical_formula_sum 'Cd1 S1 Cl2 O1'
_symmetry_space_group_name_H-M 'P 4/m m m'
_symmetry_Int_Tables_number 123
_symmetry_space_group_name_Hall '-P 4 2'
_cell_length_a 5.201
_cell_length_b 5.201
_cell_length_c 5.343
_cell_angle_alpha 90.00
_cell_angle_beta 90.00
_cell_angle_gamma 90.00
loop_
_atom_site_label
_atom_site_type_symbol
_atom_site_fract_x
_atom_site_fract_y
_atom_site_fract_z
Cd1 Cd 0.000 0.000 0.000
S1 S 0.000 0.000 0.500
Cl1 Cl 0.000 0.500 0.000
O1 O 0.500 0.500 0.500
# Total magnetic moment in Bohr magnetons per cell: 0.10
# Formation energy (no corrections) in kJ/mol of atoms: 57.8
# Calculated total energy in eV/atom: -2.14
# Distance to the lowest polymorph of the same formula in eV/atom: 0.227

# 4
# CdSClO4 PBE relaxed
data_CdSClO4
_chemical_formula_sum 'Cd4 S4 Cl4 O16'
_symmetry_space_group_name_H-M 'C 1 2/m 1'
_symmetry_Int_Tables_number 12
_cell_length_a 11.212
_cell_length_b 6.134
_cell_length_c 6.478
_cell_angle_alpha 90.00
_cell_angle_beta 101.15
_cell_angle_gamma 90.00
loop_
_symmetry_equiv_pos_as_xyz
'x,y,z'
'-x,-y,-z'
'-x,y,-z'
'x,-y,z'
'x+1/2,y+1/2,z'
'-x+1/2,-y+1/2,-z'
'-x+1/2,y+1/2,-z'
'x+1/2,-y+1/2,z'
loop_
_atom_site_label
_atom_site_type_symbol
_atom_site_fract_x
_atom_site_fract_y
_atom_site_fract_z
Cd1 Cd 0.198 0.000 0.310
S1 S 0.140 0.000 0.757
Cl1 Cl 0.019 0.500 0.156
O1 O 0.010 0.000 0.760
O2 O 0.173 0.194 0.634
O3 O 0.215 0.000 0.971
# Total magnetic moment in Bohr magnetons per cell: 0.00
# Formation energy (no corrections) in kJ/mol of atoms: -105.8
# Calculated total energy in eV/atom: -4.91

# 5
# Cd2Se2ClO6 PBE relaxed
data_Cd2Se2ClO6
_chemical_formula_sum 'Cd2 Se2 Cl1 O6'
_symmetry_space_group_name_H-M 'P -1'
_symmetry_Int_Tables_number 2
_cell_length_a 4.035
_cell_length_b 5.704
_cell_length_c 8.914
_cell_angle_alpha 85.99
_cell_angle_beta 88.12
_cell_angle_gamma 69.97
loop_
_symmetry_equiv_pos_as_xyz
'x,y,z'
'-x,-y,-z'
loop_
_atom_site_label
_atom_site_type_symbol
_atom_site_fract_x
_atom_site_fract_y
_atom_site_fract_z
Cd1 Cd 0.151 0.214 0.378
Se1 Se 0.121 0.148 0.812
Cl1 Cl 0.500 0.500 0.500
O1 O 0.046 0.539 0.204
O2 O 0.223 0.965 0.153
O3 O 0.236 0.028 0.629
# Total magnetic moment in Bohr magnetons per cell: 0.00
# Formation energy (no corrections) in kJ/mol of atoms: -77.5
# Calculated total energy in eV/atom: -4.48

# 6
# CdSeClO4 PBE relaxed
data_CdSeClO4
_chemical_formula_sum 'Cd4 Se4 Cl4 O16'
_symmetry_space_group_name_H-M 'C 1 2/m 1'
_symmetry_Int_Tables_number 12
_cell_length_a 11.647
_cell_length_b 6.329
_cell_length_c 6.668
_cell_angle_alpha 90.00
_cell_angle_beta 102.29
_cell_angle_gamma 90.00
loop_
_symmetry_equiv_pos_as_xyz
'x,y,z'
'-x,-y,-z'
'-x,y,-z'
'x,-y,z'
'x+1/2,y+1/2,z'
'-x+1/2,-y+1/2,-z'
'-x+1/2,y+1/2,-z'
'x+1/2,-y+1/2,z'
loop_
_atom_site_label
_atom_site_type_symbol
_atom_site_fract_x
_atom_site_fract_y
_atom_site_fract_z
Cd1 Cd 0.202 0.000 0.323
Se1 Se 0.138 0.000 0.762
Cl1 Cl 0.017 0.500 0.152
O1 O 0.001 0.000 0.227
O2 O 0.172 0.206 0.620
O3 O 0.225 0.000 0.995
# Total magnetic moment in Bohr magnetons per cell: 0.00
# Formation energy (no corrections) in kJ/mol of atoms: -63.8
# Calculated total energy in eV/atom: -4.39